A PBEsol-optimized structure of Cr5P4O16, computed with meta-GGA SCAN.

a b c (Å): 5.1011 7.8668 8.0780
angles (deg): 112.56 91.64 98.46
Element x y z (fractional)
1 O 0.3300 0.5026 0.8007
2 O 0.2285 0.3442 0.3475
3 O 0.0989 0.7502 0.4543
4 P 0.3644 0.6951 0.9709
5 O 0.2629 0.8371 0.9137
6 O 0.2018 0.6552 0.1160
7 O 0.6634 0.8239 0.4454
8 O 0.7982 0.3448 0.8840
9 P 0.6356 0.3049 0.0291
10 O 0.0462 0.0060 0.2580
11 Cr 0.0000 0.0000 0.0000
12 P 0.1280 0.1978 0.4178
13 O 0.9538 0.9940 0.7420
14 O 0.6700 0.4974 0.1993
15 O 0.7715 0.6558 0.6525
16 O 0.3357 0.2457 0.9620
17 Cr 0.8896 0.7460 0.2340
18 P 0.8720 0.8022 0.5822
19 Cr 0.1104 0.2540 0.7660
20 O 0.9011 0.2498 0.5457
21 O 0.3366 0.1761 0.5546
22 Cr 0.6250 0.4085 0.6496
23 O 0.7371 0.1629 0.0863
24 Cr 0.3750 0.5915 0.3504
25 O 0.6643 0.7543 0.0380

Summary:
Formation energy (no corrections) (meV/atom): -2389
Density of states at the Fermi level (states/eV/cell): 0.59

***

A PBEsol-optimized structure of BaTlOF2, computed with meta-GGA SCAN.

a b c (Å): 4.4221 4.6828 4.6828
angles (deg): 90.00 90.00 90.00
Element x y z (fractional)
1 Tl 0.0000 0.0000 0.0000
2 Ba 0.5000 0.5000 0.5000
3 F 0.0000 0.0000 0.5000
4 F 0.0000 0.5000 0.0000
5 O 0.5000 0.0000 0.0000

Summary:
Formation energy (no corrections) (meV/atom): -2259
Density of states at the Fermi level (states/eV/cell): 0.44

***

A PBEsol-optimized structure of Y2BiPd2, computed with meta-GGA SCAN.

a b c (Å): 3.5772 7.8355 7.8355
angles (deg): 90.00 90.00 90.00
Element x y z (fractional)
1 Bi 0.0000 0.5000 0.5000
2 Y 0.5000 0.3301 0.1699
3 Pd 0.0000 0.6244 0.1244
4 Y 0.5000 0.8301 0.3301
5 Y 0.5000 0.1699 0.6699
6 Pd 0.0000 0.3756 0.8756
7 Y 0.5000 0.6699 0.8301
8 Pd 0.0000 0.8756 0.6244
9 Pd 0.0000 0.1244 0.3756
10 Bi 0.0000 0.0000 0.0000

Summary:
ΔE_f (meV per atom): -1007
Density of states at the Fermi level (states/eV/cell): 4.76

***

A PBEsol-optimized structure of Co2ReHg, computed with meta-GGA SCAN.

a b c (Å): 3.6314 3.6314 4.7733
angles (deg): 112.36 112.36 90.00
Element x y z (fractional)
1 Re 0.2500 0.7500 0.5000
2 Co 0.0000 0.0000 0.0000
3 Co 0.7500 0.2500 0.5000
4 Hg 0.5000 0.5000 0.0000

Summary:
ΔE_f (meV per atom): 717
Density of states at the Fermi level (states/eV/cell): 3.48

***

A PBEsol-optimized structure of MgCd2, computed with meta-GGA SCAN.

a b c (Å): 5.1970 5.2407 5.9931
angles (deg): 65.91 64.30 60.28
Element x y z (fractional)
1 Mg 0.0862 0.7500 0.2500
2 Cd 0.2471 0.5903 0.7416
3 Cd 0.7529 0.4097 0.2584
4 Cd 0.5789 0.9097 0.7584
5 Mg 0.9138 0.2500 0.7500
6 Cd 0.4211 0.0903 0.2416

Summary:
ΔE_f (meV per atom): -122
Density of states at the Fermi level (states/eV/cell): 1.44

***

A PBEsol-optimized structure of SiWBr2, computed with meta-GGA SCAN.

a b c (Å): 4.5931 4.5931 4.5931
angles (deg): 60.00 60.00 60.00
Element x y z (fractional)
1 Br 0.2500 0.2500 0.2500
2 W 0.0000 0.0000 0.0000
3 Si 0.5000 0.5000 0.5000
4 Br 0.7500 0.7500 0.7500

Summary:
Formation energy (no corrections) (meV/atom): 1453
Density of states at the Fermi level (states/eV/cell): 2.46
E above lowest polymorph (meV per atom): 1217

***

A PBEsol-optimized structure of SiSBr2, computed with meta-GGA SCAN.

a b c (Å): 4.8379 4.8379 4.8379
angles (deg): 60.00 60.00 60.00
Element x y z (fractional)
1 S 0.5000 0.5000 0.5000
2 Br 0.7500 0.7500 0.7500
3 Si 0.0000 0.0000 0.0000
4 Br 0.2500 0.2500 0.2500

Summary:
Formation energy (no corrections) (meV/atom): 823
Density of states at the Fermi level (states/eV/cell): 1.88

***

A PBEsol-optimized structure of YIn3, computed with meta-GGA SCAN.

a b c (Å): 3.8345 3.8345 6.7666
angles (deg): 90.00 90.00 90.00
Element x y z (fractional)
1 Y 0.5000 0.5000 0.5000
2 In 0.0000 0.0000 0.2337
3 In 0.0000 0.0000 0.7663
4 In 0.5000 0.5000 0.0000

Summary:
ΔE_f (meV per atom): -336
Density of states at the Fermi level (states/eV/cell): 3.13

***

A PBEsol-optimized structure of Fe2Pb, computed with meta-GGA SCAN.

a b c (Å): 3.5462 3.5462 4.3250
angles (deg): 90.00 90.00 120.00
Element x y z (fractional)
1 Pb 0.0000 0.0000 0.0000
2 Fe 0.6667 0.3333 0.5660
3 Fe 0.3333 0.6667 0.4340

Summary:
ΔE_f (meV per atom): 1042
Density of states at the Fermi level (states/eV/cell): 1.76

***

A PBEsol-optimized structure of Rb2SrTl2, computed with meta-GGA SCAN.

a b c (Å): 6.3285 7.2569 6.3285
angles (deg): 115.85 90.00 115.85
Element x y z (fractional)
1 Tl 0.7500 0.5000 0.2500
2 Sr 0.0000 0.0000 0.0000
3 Rb 0.6388 0.2776 0.6388
4 Rb 0.3612 0.7224 0.3612
5 Tl 0.2500 0.5000 0.7500

Summary:
ΔE_f (meV per atom): 96
Density of states at the Fermi level (states/eV/cell): 4.26

***

A PBEsol-optimized structure of Tl2GeTe5, computed with meta-GGA SCAN.

a b c (Å): 8.1510 8.1510 14.7887
angles (deg): 90.00 90.00 90.00
Element x y z (fractional)
1 Tl 0.0000 0.0000 0.6202
2 Te 0.3150 0.8150 0.7224
3 Te 0.6955 0.1955 0.0000
4 Te 0.3150 0.8150 0.2776
5 Te 0.1850 0.3150 0.2776
6 Te 0.8150 0.6850 0.7224
7 Te 0.6735 0.8265 0.5000
8 Tl 0.5000 0.5000 0.8763
9 Tl 0.0000 0.0000 0.8763
10 Te 0.1735 0.6735 0.5000
11 Tl 0.5000 0.5000 0.3798
12 Te 0.6850 0.1850 0.7224
13 Te 0.6850 0.1850 0.2776
14 Ge 0.5000 0.0000 0.3807
15 Tl 0.0000 0.0000 0.3798
16 Te 0.1850 0.3150 0.7224
17 Te 0.3265 0.1735 0.5000
18 Ge 0.5000 0.0000 0.6193
19 Tl 0.5000 0.5000 0.6202
20 Te 0.8150 0.6850 0.2776
21 Te 0.5000 0.0000 0.1276
22 Te 0.3045 0.8045 0.0000
23 Te 0.0000 0.5000 0.8724
24 Te 0.5000 0.0000 0.8724
25 Ge 0.0000 0.5000 0.3807
26 Te 0.0000 0.5000 0.1276
27 Ge 0.0000 0.5000 0.6193
28 Te 0.8045 0.6955 0.0000
29 Te 0.8265 0.3265 0.5000
30 Te 0.1955 0.3045 0.0000
31 Tl 0.0000 0.0000 0.1237
32 Tl 0.5000 0.5000 0.1237

Summary:
Formation energy (no corrections) (meV/atom): -147
Density of states at the Fermi level (states/eV/cell): 2.98

***

A PBEsol-optimized structure of Na10EuSn12, computed with meta-GGA SCAN.

a b c (Å): 9.6221 9.6221 9.6221
angles (deg): 109.47 109.47 109.47
Element x y z (fractional)
1 Sn 0.1884 0.3713 0.0000
2 Sn 0.6287 0.6287 0.8171
3 Eu 0.0000 0.0000 0.0000
4 Na 0.7500 0.5000 0.2500
5 Sn 0.3713 0.1884 0.0000
6 Sn 0.1830 0.8116 0.8116
7 Na 0.6125 0.0000 0.0000
8 Sn 0.8171 0.6287 0.6287
9 Na 0.3875 0.3875 0.3875
10 Sn 0.8116 0.1830 0.8116
11 Na 0.0000 0.6125 0.0000
12 Sn 0.0000 0.3713 0.1884
13 Sn 0.3713 0.0000 0.1884
14 Sn 0.0000 0.1884 0.3713
15 Sn 0.1884 0.0000 0.3713
16 Na 0.0000 0.0000 0.6125
17 Na 0.5000 0.2500 0.7500
18 Na 0.2500 0.5000 0.7500
19 Na 0.5000 0.7500 0.2500
20 Sn 0.8116 0.8116 0.1830
21 Sn 0.6287 0.8171 0.6287
22 Na 0.7500 0.2500 0.5000
23 Na 0.2500 0.7500 0.5000

Summary:
ΔE_f (meV per atom): -345

***

A PBEsol-optimized structure of TaAl2Co2, computed with meta-GGA SCAN.

a b c (Å): 2.7328 6.8910 6.8910
angles (deg): 90.00 90.00 90.00
Element x y z (fractional)
1 Al 0.5000 0.3492 0.1508
2 Co 0.0000 0.1436 0.3564
3 Ta 0.0000 0.0000 0.0000
4 Al 0.5000 0.1508 0.6508
5 Al 0.5000 0.8492 0.3492
6 Co 0.0000 0.8564 0.6436
7 Ta 0.0000 0.5000 0.5000
8 Co 0.0000 0.6436 0.1436
9 Al 0.5000 0.6508 0.8492
10 Co 0.0000 0.3564 0.8564

Summary:
ΔE_f (meV per atom): -291
Density of states at the Fermi level (states/eV/cell): 9.72

***

Here are the calculated spin magnetization numbers, same order: 18.0, 0.0, 0.0, 0.1, 0.0, 0.0, 1.9, 0.0, 0.0, 0.0, 0.0, 7.0, 0.0 (μB/cell).